[1]
## TiOs3W (GGA-PBE)

Data for a relaxed TiOs3W crystal. Values from VASP.

Geometry as Quantum ESPRESSO input:
```
&SYSTEM
  ibrav = 0, nat = 5, ntyp = 3
/
ATOMIC_SPECIES
Ti 47.87 Ti.upf
Os 190.23 Os.upf
W 183.84 W.upf
ATOMIC_POSITIONS crystal
Ti 0.0000 0.0000 0.0000
Os 0.0000 0.5000 0.5000
Os 0.5000 0.0000 0.5000
Os 0.5000 0.5000 0.0000
W 0.5000 0.5000 0.5000
CELL_PARAMETERS angstrom
4.6828 0.0000 0.0000
0.0000 4.6828 0.0000
0.0000 0.0000 4.6828
```

Properties
- Symmetry: Pm-3m

=====

[2]
## TiOsW (GGA-PBE)

Data for a relaxed TiOsW crystal. Values from VASP.

Geometry as Quantum ESPRESSO input:
```
&SYSTEM
  ibrav = 0, nat = 9, ntyp = 3
/
ATOMIC_SPECIES
Ti 47.87 Ti.upf
Os 190.23 Os.upf
W 183.84 W.upf
ATOMIC_POSITIONS crystal
Ti 0.0000 0.2975 0.0000
Ti 0.2975 0.0000 0.0000
Ti 0.7025 0.7025 0.0000
Os 0.0000 0.6305 0.5000
Os 0.3695 0.3695 0.5000
Os 0.6305 0.0000 0.5000
W 0.0000 0.0000 0.5000
W 0.3333 0.6667 0.0000
W 0.6667 0.3333 0.0000
CELL_PARAMETERS angstrom
7.5655 0.0000 0.0000
-3.7827 6.5519 0.0000
0.0000 0.0000 2.8190
```

Properties
- Symmetry: P-62m

=====

Results for final energy: -45.04 -31.75 (in eV/f.u., following the order of the records).
Results for N(E_F): 6.62 10.00 (in states/eV/cell, following the order of the records).
Results for total magnetization: 0.00 0.00 (in μB per cell, following the order of the records).